Entry 1:
Compound: Si2NiSe
Source: Alexandria via LeMat-Bulk
Functional: PBE
Structure: optimized geometry

Cell and atoms, written as POSCAR:
```
Si2NiSe
1.0
2.7852 0.0000 0.0000
0.0000 3.4347 0.0000
0.0000 0.0000 6.9076
Ni Se Si
1 1 2
direct
0.0000 0.0000 0.4446
0.5000 0.5000 0.6718
0.0000 0.0000 0.0908
0.5000 0.5000 0.2927
```

Results
The calculation puts the calculated total energy at -19.40 eV/cell. As for the space-group type: Pmm2 (25). Its crystal system is orthorhombic.

Entry 2:
Compound: SiNiSe2
Source: Alexandria via LeMat-Bulk
Functional: PBE
Structure: optimized geometry

Cell and atoms, written as POSCAR:
```
SiNiSe2
1.0
4.4654 -0.0420 0.0484
-1.4211 4.2335 0.0484
1.4833 2.0422 3.6875
Ni Se Si
1 2 1
direct
0.0000 0.5000 0.5000
0.0000 0.0000 0.0000
0.5000 0.5000 0.0000
0.5000 0.0000 0.5000
```

Results
The calculation puts the calculated total energy at -17.76 eV/cell. As for the space-group type: I4/mmm (139). Its crystal system is tetragonal.

Entry 3:
Compound: SiNiTe2Se
Source: Alexandria via LeMat-Bulk
Functional: PBE
Structure: optimized geometry

Cell and atoms, written as POSCAR:
```
SiNiTe2Se
1.0
-2.8896 0.7616 4.2826
1.6167 -3.7107 1.7508
3.9058 2.7172 2.1522
Ni Si Te Se
1 1 2 1
direct
0.0000 0.0000 0.0000
0.5000 0.5000 0.5000
0.0000 0.0000 0.5000
0.5000 0.0000 0.0000
0.0000 0.5000 0.0000
```

Results
The calculation puts the calculated total energy at -18.58 eV/cell. As for the space-group type: P4/mmm (123). Its crystal system is tetragonal.

Entry 4:
Compound: TlSiNi2Se
Source: Alexandria via LeMat-Bulk
Functional: PBE
Structure: optimized geometry

Cell and atoms, written as POSCAR:
```
TlSiNi2Se
1.0
-0.8041 3.4261 3.2627
-4.0544 -2.5886 1.7190
2.8063 -2.3190 3.1268
Ni Tl Si Se
2 1 1 1
direct
0.0000 0.0000 0.5000
0.5000 0.0000 0.0000
0.0000 0.0000 0.0000
0.0000 0.5000 0.0000
0.5000 0.5000 0.5000
```

Results
The calculation puts the calculated total energy at -16.05 eV/cell. As for the space-group type: P4/mmm (123). Its crystal system is tetragonal.

Entry 5:
Compound: Tl2SiNiSe4
Source: Alexandria via LeMat-Bulk
Functional: PBE
Structure: optimized geometry

Cell and atoms, written as POSCAR:
```
Tl2SiNiSe4
1.0
-1.1817 5.4572 -2.6639
-4.8894 -0.0841 -5.1872
-9.3199 4.8380 6.8617
Tl Si Ni Se
4 2 2 8
direct
0.1926 0.0000 0.6148
0.8074 0.0000 0.3852
0.5574 0.5000 0.8852
0.9426 0.5000 0.1148
0.2500 0.5000 0.5000
0.5000 0.0000 0.0000
0.7500 0.5000 0.5000
0.0000 0.0000 0.0000
0.3121 0.8038 0.1023
0.2182 0.1962 0.8977
0.8841 0.8038 0.8977
0.5856 0.1962 0.1023
0.4379 0.6962 0.3977
0.5318 0.3038 0.6023
0.8659 0.6962 0.6023
0.1644 0.3038 0.3977
```

Results
The calculation puts the calculated total energy at -64.73 eV/cell. As for the space-group type: Fddd (70). Its crystal system is orthorhombic.

Entry 6:
Compound: Sm6NiSe5
Source: Alexandria via LeMat-Bulk
Functional: PBE
Structure: optimized geometry

Cell and atoms, written as POSCAR:
```
Sm6NiSe5
1.0
-3.2592 -3.8595 -5.1541
6.3443 -2.1858 2.6560
-4.2704 -1.5840 5.5905
Ni Se Sm
1 5 6
direct
0.0000 0.0000 0.0000
0.8251 0.1749 0.5000
0.6653 0.3347 0.0000
0.5000 0.5000 0.5000
0.3347 0.6653 0.0000
0.1749 0.8251 0.5000
0.3947 0.0776 0.2373
0.9224 0.6053 0.7627
0.2370 0.2370 0.7574
0.7630 0.7630 0.2426
0.0776 0.3947 0.2373
0.6053 0.9224 0.7627
```

Results
The calculation puts the calculated total energy at -70.63 eV/cell. As for the space-group type: C2/m (12). Its crystal system is monoclinic.

Which volume belongs to each record? In order, 66.1, 68.6, 120.3, 117.6, 483.0, 306.7 Å³ per cell.